Computed, not measured: a geometry-optimized La2Cd2Au structure at the GGA-PBE level of DFT.

Properties
Relative energy among the computed polymorphs (meV/atom): 67
Crystal system: tetragonal
Space group: No. 139
Volume (A^3/atom): 29.40
ΔH_f (0 K) (meV/atom): -279

Unit cell a=9.6448 b=9.6448 c=9.6448 alpha=156.11 beta=156.11 gamma=34.04
With the nearest neighbours (Å) after each atom.
Fractional positions:
1 La 0.0918 0.0918 0.0000  4 Au 3.29, 1 La 3.39, 4 Cd 3.54
2 La 0.9082 0.9082 0.0000  4 Au 3.29, 1 La 3.39, 4 Cd 3.54
3 Cd 0.2500 0.7500 0.5000  4 Cd 2.82
4 Cd 0.7500 0.2500 0.5000  4 Cd 2.82
5 Au 0.5000 0.5000 0.0000  8 La 3.29

Computed, not measured: a geometry-optimized ZnIn2SnBr6 structure at the GGA-PBE level of DFT.

Properties
Crystal system: trigonal
Space group: No. 146
Volume (A^3/atom): 40.60
E_form (uncorrected) (eV per atom): -0.73

Unit cell a=8.9811 b=8.9811 c=8.9811 alpha=51.19 beta=51.19 gamma=51.19
With the nearest neighbours (Å) after each atom.
Fractional positions:
1 Zn 0.0000 0.0000 0.0000  3 Br 2.35
2 In 0.2326 0.2326 0.2326  6 Br 3.25-3.47
3 In 0.7504 0.7504 0.7504  6 Br 3.22-3.49
4 Sn 0.4386 0.4386 0.4386  3 Br 2.77
5 Br 0.0345 0.2858 0.6818  1 Zn 2.35
6 Br 0.1835 0.7894 0.5295  1 Sn 2.77
7 Br 0.2858 0.6818 0.0345  1 Zn 2.35
8 Br 0.5295 0.1835 0.7894  1 Sn 2.77
9 Br 0.6818 0.0345 0.2858  1 Zn 2.35
10 Br 0.7894 0.5295 0.1835  1 Sn 2.77

Computed, not measured: a geometry-optimized BaAl2AsS6 structure at the GGA-PBE level of DFT.

Properties
Crystal system: monoclinic
Space group: No. 15
Volume (A^3/atom): 26.14
E_form (uncorrected) (eV per atom): -0.92

Unit cell a=9.1404 b=9.1404 c=6.9128 alpha=107.07 beta=107.07 gamma=92.31
With the nearest neighbours (Å) after each atom.
Fractional positions:
1 Ba 0.1524 0.8476 0.7500  6 S 3.16-3.34
2 Ba 0.8476 0.1524 0.2500  6 S 3.16-3.34
3 Al 0.1577 0.3280 0.8478  4 S 2.26-2.30
4 Al 0.3280 0.1577 0.3478  4 S 2.26-2.30
5 Al 0.6720 0.8423 0.6522  4 S 2.26-2.30
6 Al 0.8423 0.6720 0.1522  4 S 2.26-2.30
7 As 0.2860 0.7140 0.2500  4 S 2.27-2.43
8 As 0.7140 0.2860 0.7500  4 S 2.27-2.43
9 S 0.0656 0.5890 0.2990  1 Al 2.27, 1 As 2.43
10 S 0.1369 0.1960 0.0712  2 Al 2.26-2.30
11 S 0.1960 0.1369 0.5712  2 Al 2.26-2.30
12 S 0.3240 0.5514 0.9559  1 As 2.27, 1 Al 2.29
13 S 0.4110 0.9344 0.2010  1 Al 2.27, 1 As 2.43
14 S 0.4486 0.6760 0.5441  1 As 2.27, 1 Al 2.29
15 S 0.5514 0.3240 0.4559  1 As 2.27, 1 Al 2.29
16 S 0.5890 0.0656 0.7990  1 Al 2.27, 1 As 2.43
17 S 0.6760 0.4486 0.0441  1 As 2.27, 1 Al 2.29
18 S 0.8040 0.8631 0.4288  2 Al 2.26-2.30
19 S 0.8631 0.8040 0.9288  2 Al 2.26-2.30
20 S 0.9344 0.4110 0.7010  1 Al 2.27, 1 As 2.43

Computed, not measured: a geometry-optimized SrTlBi2H structure at the GGA-PBE level of DFT.

Properties
Relative energy among the computed polymorphs (meV/atom): 15
Crystal system: tetragonal
Space group: No. 123
Volume (A^3/atom): 26.64

Unit cell a=5.0162 b=5.0162 c=5.2939 alpha=90.00 beta=90.00 gamma=90.00
With the nearest neighbours (Å) after each atom.
Fractional positions:
1 Sr 0.0000 0.0000 0.0000  4 Tl 3.55, 8 Bi 3.65
2 Tl 0.5000 0.5000 0.0000  2 H 2.65
3 Bi 0.0000 0.5000 0.5000  2 H 2.51
4 Bi 0.5000 0.0000 0.5000  2 H 2.51
5 H 0.5000 0.5000 0.5000  4 Bi 2.51, 2 Tl 2.65

Computed, not measured: a geometry-optimized CaSm3Tm2Te6 structure at the GGA-PBE level of DFT.

Properties
Crystal system: monoclinic
Space group: No. 12
Volume (A^3/atom): 30.17
E_form (uncorrected) (eV per atom): -1.35

Unit cell a=9.8843 b=9.8843 c=8.8901 alpha=104.17 beta=104.17 gamma=25.51
With the nearest neighbours (Å) after each atom.
Fractional positions:
1 Ca 0.0000 0.0000 0.0000  6 Te 3.09-3.13
2 Sm 0.0000 0.0000 0.5000  6 Te 3.14-3.15
3 Sm 0.3368 0.3368 0.1767  6 Te 3.13-3.20
4 Sm 0.6632 0.6632 0.8233  6 Te 3.13-3.20
5 Tm 0.3314 0.3314 0.6635  6 Te 3.03-3.09
6 Tm 0.6686 0.6686 0.3365  6 Te 3.03-3.09
7 Te 0.1674 0.1674 0.0892  2 Tm 3.09, 1 Ca 3.13, 3 Sm 3.16-3.20
8 Te 0.1685 0.1685 0.5738  3 Tm 3.03-3.04, 3 Sm 3.13-3.15
9 Te 0.4947 0.4947 0.7512  1 Tm 3.05, 2 Ca 3.09, 3 Sm 3.14-3.15
10 Te 0.5053 0.5053 0.2488  1 Tm 3.05, 2 Ca 3.09, 3 Sm 3.14-3.15
11 Te 0.8315 0.8315 0.4262  3 Tm 3.03-3.04, 3 Sm 3.13-3.15
12 Te 0.8326 0.8326 0.9108  2 Tm 3.09, 1 Ca 3.13, 3 Sm 3.16-3.20

Computed, not measured: a geometry-optimized Zn6NiAu8 structure at the GGA-PBE level of DFT.

Properties
Relative energy among the computed polymorphs (meV/atom): 46
Crystal system: trigonal
Space group: No. 148
Volume (A^3/atom): 17.59
ΔH_f (0 K) (meV/atom): -90

Unit cell a=6.9118 b=6.9118 c=6.9118 alpha=66.02 beta=66.02 gamma=66.02
With the nearest neighbours (Å) after each atom.
Fractional positions:
1 Zn 0.0566 0.7391 0.3668  1 Ni 2.52, 7 Au 2.62-2.79
2 Zn 0.2609 0.6332 0.9434  1 Ni 2.52, 7 Au 2.62-2.79
3 Zn 0.3668 0.0566 0.7391  1 Ni 2.52, 7 Au 2.62-2.79
4 Zn 0.6332 0.9434 0.2609  1 Ni 2.52, 7 Au 2.62-2.79
5 Zn 0.7391 0.3668 0.0566  1 Ni 2.52, 7 Au 2.62-2.79
6 Zn 0.9434 0.2609 0.6332  1 Ni 2.52, 7 Au 2.62-2.79
7 Ni 0.0000 0.0000 0.0000  6 Zn 2.52
8 Au 0.1203 0.4549 0.7691  5 Zn 2.62-2.76
9 Au 0.2309 0.8797 0.5451  5 Zn 2.62-2.76
10 Au 0.3202 0.3202 0.3202  6 Zn 2.68-2.79, 3 Au 2.99
11 Au 0.4549 0.7691 0.1203  5 Zn 2.62-2.76
12 Au 0.5451 0.2309 0.8797  5 Zn 2.62-2.76
13 Au 0.6798 0.6798 0.6798  6 Zn 2.68-2.79, 3 Au 2.99
14 Au 0.7691 0.1203 0.4549  5 Zn 2.62-2.76
15 Au 0.8797 0.5451 0.2309  5 Zn 2.62-2.76

Computed, not measured: a geometry-optimized TiCr2Pt9 structure at the GGA-PBE level of DFT.

Properties
Crystal system: tetragonal
Space group: No. 123
Volume (A^3/atom): 15.17
ΔH_f (0 K) (meV/atom): -480

Unit cell a=3.9267 b=3.9267 c=11.8081 alpha=90.00 beta=90.00 gamma=90.00
With the nearest neighbours (Å) after each atom.
Fractional positions:
1 Ti 0.0000 0.0000 0.0000  12 Pt 2.77-2.78
2 Cr 0.0000 0.0000 0.3386  12 Pt 2.74-2.84
3 Cr 0.0000 0.0000 0.6614  12 Pt 2.74-2.84
4 Pt 0.0000 0.5000 0.1653  8 Pt 2.77-2.78, 2 Ti 2.77, 2 Cr 2.84
5 Pt 0.0000 0.5000 0.5000  4 Cr 2.74, 8 Pt 2.78-2.79
6 Pt 0.0000 0.5000 0.8347  8 Pt 2.77-2.78, 2 Ti 2.77, 2 Cr 2.84
7 Pt 0.5000 0.0000 0.1653  8 Pt 2.77-2.78, 2 Ti 2.77, 2 Cr 2.84
8 Pt 0.5000 0.0000 0.5000  4 Cr 2.74, 8 Pt 2.78-2.79
9 Pt 0.5000 0.0000 0.8347  8 Pt 2.77-2.78, 2 Ti 2.77, 2 Cr 2.84
10 Pt 0.5000 0.5000 0.0000  8 Pt 2.77, 4 Ti 2.78
11 Pt 0.5000 0.5000 0.3321  4 Cr 2.78, 8 Pt 2.78-2.79
12 Pt 0.5000 0.5000 0.6679  4 Cr 2.78, 8 Pt 2.78-2.79

Computed, not measured: a geometry-optimized KTlPCl2 structure at the GGA-PBE level of DFT.

Properties
Relative energy among the computed polymorphs (meV/atom): 0
Crystal system: tetragonal
Space group: No. 123
Volume (A^3/atom): 34.75
E_form (uncorrected) (eV per atom): -0.48

Unit cell a=5.7615 b=5.7615 c=5.2343 alpha=90.00 beta=90.00 gamma=90.00
With the nearest neighbours (Å) after each atom.
Fractional positions:
1 K 0.0000 0.0000 0.0000  8 Cl 3.89, 4 P 4.07
2 Tl 0.5000 0.5000 0.5000  2 P 2.62, 4 Cl 2.88
3 P 0.5000 0.5000 0.0000  2 Tl 2.62
4 Cl 0.0000 0.5000 0.5000  2 Tl 2.88
5 Cl 0.5000 0.0000 0.5000  2 Tl 2.88